Computed, not measured: a geometry-optimized GdDy2Er3Te2Os structure at the PBE-GGA level of DFT.

abc: 4.0303 14.3794 8.2823
angles: 90.00 90.00 90.00
With the nearest neighbours (Å) after each atom.
Space group Amm2 (No. 38)
Symmetry-distinct sites (fractional):
Gd  0.0000  0.0000  0.0000  2 Os 2.86
Dy  0.0000  0.1209  0.3636  2 Os 2.84
Er  0.5000  0.0000  0.6309  1 Os 3.19, 4 Te 3.27, 4 Dy 3.46
Er  0.5000  0.1947  0.0482  1 Os 3.24, 4 Te 3.25-3.26, 2 Dy 3.47, 2 Gd 3.47
Te  0.0000  0.1673  0.7421  2 Dy 3.20-3.21, 1 Gd 3.22, 6 Er 3.25-3.27
Os  0.5000  0.0000  0.2452  4 Dy 2.84, 2 Gd 2.86

Calculated values
The total energy comes out at -5.694 eV/atom. For the total magnetization, the calculation gives 0.04 Bohr magnetons per cell.

---

Computed, not measured: a geometry-optimized LaEr2P3 structure at the PBE-GGA level of DFT.

abc: 4.0682 4.0682 9.9666
angles: 90.00 90.00 120.00
With the nearest neighbours (Å) after each atom.
Space group P-3m1 (No. 164)
Symmetry-distinct sites (fractional):
La  0.0000  0.0000  0.0000  6 P 2.97
Er  0.3333  0.6667  0.3412  6 P 2.83-2.84
P  0.0000  0.0000  0.5000  6 Er 2.83
P  0.3333  0.6667  0.8182  3 Er 2.84, 3 La 2.97

Calculated values
The total energy comes out at -6.628 eV/atom. For the total magnetization, the calculation gives 0.01 Bohr magnetons per cell.